[1]
Nd2ZnPPt6 after structural relaxation, computed with PBE.

Properties
formation energy from the elements: -0.873 eV per atom
raw total energy: -6.12 eV/atom
magnetic moment: 0.00 μB/atom
N(E_F): 0.33 states/eV per atom

The structure in POSCAR format:
```
Nd2ZnPPt6
1.0
-0.173 4.434 -3.391
-6.284 2.991 4.231
5.535 4.220 5.237
P Pt Nd Zn
2 12 4 2
Direct
0.500 0.233 0.500
0.000 0.767 0.000
0.247 0.988 0.500
0.247 0.459 0.500
0.253 0.541 0.000
0.000 0.886 0.753
0.753 0.459 0.500
0.500 0.114 0.253
0.000 0.886 0.247
0.753 0.988 0.500
0.500 0.114 0.747
0.253 0.012 0.000
0.747 0.012 0.000
0.747 0.541 0.000
0.000 0.273 0.233
0.500 0.727 0.267
0.000 0.273 0.767
0.500 0.727 0.733
0.500 0.283 0.000
0.000 0.717 0.500
```

[2]
BH4Se after structural relaxation, computed with PBE.

Properties
raw total energy: -3.59 eV/atom
magnetic moment: 0.00 μB/atom
N(E_F): 0.24 states/eV per atom

The structure in POSCAR format:
```
BH4Se
1.0
-2.236 -3.226 0.300
3.071 -1.993 1.446
-2.325 4.577 5.969
H Se B
8 2 2
Direct
0.083 0.581 0.664
0.917 0.419 0.336
0.250 0.250 0.500
0.418 0.919 0.336
0.750 0.750 0.500
0.582 0.081 0.664
0.250 0.750 0.500
0.750 0.250 0.500
0.750 0.750 0.000
0.250 0.250 0.000
0.500 0.000 0.500
0.000 0.500 0.500
```

[3]
H2OsCO after structural relaxation, computed with PBE.

Properties
raw total energy: -6.00 eV/atom
magnetic moment: 0.00 μB/atom
N(E_F): 0.20 states/eV per atom

The structure in POSCAR format:
```
H2OsCO
1.0
2.767 0.000 0.000
0.000 7.972 0.000
0.000 0.000 2.767
O C H Os
1 1 2 1
Direct
0.000 0.000 0.000
0.000 0.500 0.000
0.000 0.000 0.500
0.500 0.000 0.000
0.500 0.500 0.500
```

[4]
Pm2YAg3Se6 after structural relaxation, computed with PBE.

Properties
E_form (uncorrected): -1165 meV/atom
raw total energy: -4.95 eV/atom
magnetic moment: 0.00 μB/atom
N(E_F): 0.00 states/eV per atom

The structure in POSCAR format:
```
Pm2YAg3Se6
1.0
4.257 0.000 0.000
0.000 8.116 0.609
-2.129 -2.019 8.575
Se Pm Ag Y
6 2 3 1
Direct
0.998 0.242 0.995
0.335 0.926 0.669
0.664 0.577 0.328
0.336 0.423 0.672
0.002 0.758 0.005
0.665 0.074 0.331
0.833 0.676 0.667
0.167 0.324 0.333
0.174 0.811 0.349
0.500 0.500 0.000
0.826 0.189 0.651
0.500 0.000 0.000
```

[5]
Ir2AuSe after structural relaxation, computed with PBE.

Properties
E_form (uncorrected): 542 meV/atom
raw total energy: -5.58 eV/atom
magnetic moment: 0.00 μB/atom
N(E_F): 0.94 states/eV per atom

The structure in POSCAR format:
```
Ir2AuSe
1.0
7.118 0.000 0.000
0.000 7.118 0.000
3.559 3.559 2.714
Ir Se Au
4 2 2
Direct
0.875 0.834 0.750
0.375 0.416 0.750
0.166 0.625 0.250
0.584 0.125 0.250
0.500 0.500 0.000
0.250 0.750 0.500
0.750 0.250 0.500
0.000 0.000 0.000
```

[6]
SrTcP3 after structural relaxation, computed with PBE.

Properties
formation energy from the elements: -0.143 eV per atom
raw total energy: -5.80 eV/atom
magnetic moment: 0.00 μB/atom
N(E_F): 0.89 states/eV per atom

The structure in POSCAR format:
```
SrTcP3
1.0
4.728 0.000 0.000
0.000 4.728 0.000
0.000 0.000 4.728
P Sr Tc
3 1 1
Direct
0.500 0.000 0.000
0.000 0.000 0.500
0.000 0.500 0.000
0.500 0.500 0.500
0.000 0.000 0.000
```

[7]
Sr3Sn3Bi2Pd after structural relaxation, computed with PBE.

Properties
formation energy from the elements: -0.653 eV per atom
raw total energy: -3.99 eV/atom
magnetic moment: 0.00 μB/atom
N(E_F): 0.36 states/eV per atom

The structure in POSCAR format:
```
Sr3Sn3Bi2Pd
1.0
4.636 0.000 0.000
0.000 8.295 0.000
0.000 -4.148 7.184
Sn Sr Bi Pd
3 3 2 1
Direct
0.500 0.779 0.000
0.500 0.221 0.221
0.500 0.000 0.779
0.000 0.610 0.610
0.000 0.000 0.390
0.000 0.390 0.000
0.500 0.333 0.667
0.500 0.667 0.333
0.000 0.000 0.000
```

[8]
Zr2BeSn2 after structural relaxation, computed with PBE.

Properties
formation energy from the elements: -0.092 eV per atom
raw total energy: -5.86 eV/atom
magnetic moment: 0.00 μB/atom
N(E_F): 0.56 states/eV per atom

The structure in POSCAR format:
```
Zr2BeSn2
1.0
6.896 0.000 0.000
0.000 6.896 0.000
0.000 0.000 4.398
Zr Sn Be
4 4 2
Direct
0.334 0.166 0.500
0.666 0.834 0.500
0.834 0.334 0.500
0.166 0.666 0.500
0.354 0.854 0.000
0.854 0.646 0.000
0.146 0.354 0.000
0.646 0.146 0.000
0.000 0.000 0.000
0.500 0.500 0.000
```

[9]
KBaZnAu after structural relaxation, computed with PBE.

Properties
formation energy from the elements: -0.206 eV per atom
raw total energy: -2.10 eV/atom
magnetic moment: 0.00 μB/atom
N(E_F): 0.96 states/eV per atom

The structure in POSCAR format:
```
KBaZnAu
1.0
-4.625 1.759 -2.850
-5.116 -2.238 1.199
-3.952 3.163 2.644
Zn Au Ba K
1 1 1 1
Direct
0.000 0.000 0.000
0.500 0.500 0.500
0.750 0.750 0.750
0.250 0.250 0.250
```

[10]
NaSr2Ag after structural relaxation, computed with PBE.

Properties
formation energy from the elements: -0.150 eV per atom
raw total energy: -2.03 eV/atom
magnetic moment: 0.00 μB/atom
N(E_F): 0.62 states/eV per atom

The structure in POSCAR format:
```
NaSr2Ag
1.0
-1.236 -3.790 -1.780
7.390 -1.392 3.185
-4.330 -2.222 7.737
Na Sr Ag
2 4 2
Direct
0.373 0.747 0.039
0.627 0.253 0.961
0.032 0.063 0.288
0.235 0.470 0.679
0.765 0.530 0.321
0.968 0.937 0.712
0.594 0.189 0.547
0.406 0.811 0.453
```

[11]
La6PmY2Mg after structural relaxation, computed with PBE.

Properties
formation energy from the elements: 0.086 eV per atom
raw total energy: -4.80 eV/atom
magnetic moment: 0.00 μB/atom
N(E_F): 1.53 states/eV per atom

The structure in POSCAR format:
```
La6PmY2Mg
1.0
-7.857 5.150 -1.247
-3.786 -7.747 -1.528
0.138 0.723 8.725
Y La Pm Mg
4 12 2 2
Direct
0.403 0.801 0.737
0.597 0.199 0.263
0.097 0.263 0.199
0.903 0.737 0.801
0.671 0.965 0.544
0.084 0.080 0.742
0.599 0.436 0.679
0.416 0.258 0.920
0.099 0.679 0.436
0.329 0.035 0.456
0.829 0.456 0.035
0.916 0.920 0.258
0.171 0.544 0.965
0.401 0.564 0.321
0.584 0.742 0.080
0.901 0.321 0.564
0.250 0.928 0.072
0.750 0.072 0.928
0.750 0.595 0.405
0.250 0.405 0.595
```

[12]
Ag3Rh after structural relaxation, computed with PBE.

Properties
formation energy from the elements: 0.190 eV per atom
raw total energy: -3.79 eV/atom
magnetic moment: 0.16 μB/atom
N(E_F): 0.63 states/eV per atom

The structure in POSCAR format:
```
Ag3Rh
1.0
-4.693 1.747 0.079
-4.639 -0.289 -1.864
-1.988 -3.229 3.328
Ag Rh
3 1
Direct
0.247 0.247 0.755
0.753 0.753 0.245
0.000 0.000 0.500
0.500 0.500 0.000
```